# K3HfMn2O6 PBE+U relaxed
# Energy (eV per atom): -6.50
# D(E_F) (states/eV/cell): 4.13
data_K3HfMn2O6
_cell_length_a 5.489
_cell_length_b 9.454
_cell_length_c 6.386
_cell_angle_alpha 90.00
_cell_angle_beta 106.89
_cell_angle_gamma 90.00
_space_group_name_H-M_alt 'C 1 2/m 1'
_space_group_IT_number 12
loop_
_space_group_symop_operation_xyz
'x,y,z'
'-x,-y,-z'
'-x,y,-z'
'x,-y,z'
'x+1/2,y+1/2,z'
'-x+1/2,-y+1/2,-z'
'-x+1/2,y+1/2,-z'
'x+1/2,-y+1/2,z'
loop_
_atom_site_label
_atom_site_fract_x
_atom_site_fract_y
_atom_site_fract_z
K1 0.000 0.000 0.000
K2 0.000 0.330 0.000
Hf1 0.000 0.500 0.500
Mn1 0.000 0.168 0.500
O1 0.221 0.333 0.678
O2 0.226 0.000 0.676

=====

# KHf2Mn2O7 PBE+U relaxed
# Energy (eV per atom): -8.44
# D(E_F) (states/eV/cell): 6.82
data_KHf2Mn2O7
_cell_length_a 4.174
_cell_length_b 4.226
_cell_length_c 17.744
_cell_angle_alpha 90.00
_cell_angle_beta 90.00
_cell_angle_gamma 90.00
_space_group_name_H-M_alt 'I m m m'
_space_group_IT_number 71
_space_group_name_Hall '-I 2 2'
loop_
_atom_site_label
_atom_site_fract_x
_atom_site_fract_y
_atom_site_fract_z
K1 0.000 0.000 0.000
Hf1 0.000 0.000 0.387
Mn1 0.000 0.500 0.250
O1 0.000 0.000 0.262
O2 0.000 0.000 0.500
O3 0.000 0.500 0.129
O4 0.000 0.500 0.372